*1*
First-principles (GGA-PBE) data for TmHf2Zn after structural relaxation, as listed in Alexandria via LeMat-Bulk.

abc: 3.234 3.234 8.319
angles: 90.00 90.00 90.00
Atoms (fractional coordinates):
Tm1 0.000 0.000 0.000
Hf1 0.500 0.500 0.284
Hf2 0.500 0.500 0.716
Zn1 0.000 0.000 0.500

Values from the calculation:
symmetry = P4/mmm
theoretical density = 11.3 g/cm³



*2*
First-principles (GGA-PBE) data for TmHf2Zn after structural relaxation, as listed in Alexandria via LeMat-Bulk.

abc: 10.936 10.936 10.936
angles: 16.47 16.47 16.47
Atoms (fractional coordinates):
Tm1 0.000 0.000 0.000
Hf1 0.098 0.098 0.098
Hf2 0.902 0.902 0.902
Zn1 0.500 0.500 0.500

Values from the calculation:
symmetry = R-3m
theoretical density = 10.7 g/cm³



*3*
First-principles (GGA-PBE) data for TmHf2Zn after structural relaxation, as listed in Alexandria via LeMat-Bulk.

abc: 9.840 9.840 9.840
angles: 19.20 19.20 19.20
Atoms (fractional coordinates):
Tm1 0.000 0.000 0.000
Hf1 0.241 0.241 0.241
Hf2 0.425 0.425 0.425
Zn1 0.833 0.833 0.833

Values from the calculation:
symmetry = R3m
theoretical density = 10.9 g/cm³



Least stable of them? *2*.